(1)
Ba2PaH12Pd3: optimized geometry, PBE.

CIF file:
```
data_Ba2PaH12Pd3
_symmetry_space_group_name_H-M 'R -3 m'
_symmetry_Int_Tables_number 166
_symmetry_space_group_name_Hall '-R 3 2"'
_cell_length_a 6.9780
_cell_length_b 6.9780
_cell_length_c 15.1753
_cell_angle_alpha 90.00
_cell_angle_beta 90.00
_cell_angle_gamma 120.00
loop_
_atom_site_label
_atom_site_type_symbol
_atom_site_fract_x
_atom_site_fract_y
_atom_site_fract_z
_atom_site_occupancy
Ba1 Ba 0.0000 0.0000 0.1160 1
Pa1 Pa 0.0000 0.0000 0.5000 1
H1 H 0.0099 0.5050 0.8811 1
H2 H 0.0984 0.5492 0.3072 1
Pd1 Pd 0.0000 0.5000 0.0000 1
```

The calculation puts the total energy at -4.121 eV per atom.

---

(2)
K3Sc3SnTe8: optimized geometry, PBE.

CIF file:
```
data_K3Sc3SnTe8
_symmetry_space_group_name_H-M 'C 1 2/m 1'
_symmetry_Int_Tables_number 12
_symmetry_space_group_name_Hall '-C 2y'
_cell_length_a 14.751
_cell_length_b 8.486
_cell_length_c 9.735
_cell_angle_alpha 90.00
_cell_angle_beta 120.45
_cell_angle_gamma 90.00
loop_
_atom_site_label
_atom_site_type_symbol
_atom_site_fract_x
_atom_site_fract_y
_atom_site_fract_z
_atom_site_occupancy
K1 K 0.000 0.000 0.000 1
K2 K 0.250 0.250 0.000 1
Sc1 Sc 0.000 0.500 0.500 1
Sc2 Sc 0.250 0.250 0.500 1
Sn1 Sn 0.000 0.000 0.500 1
Te1 Te 0.019 0.258 0.300 1
Te2 Te 0.233 0.500 0.699 1
Te3 Te 0.239 0.000 0.700 1
```

The calculation puts the total energy at -4.450 eV per atom. Its formation energy without anion corrections is -99 kJ/mol of atoms.

---

(3)
PtNF2: optimized geometry, PBE.

CIF file:
```
data_PtNF2
_symmetry_space_group_name_H-M 'R -3 m'
_symmetry_Int_Tables_number 166
_symmetry_space_group_name_Hall '-R 3 2"'
_cell_length_a 2.8286
_cell_length_b 2.8286
_cell_length_c 25.5693
_cell_angle_alpha 90.00
_cell_angle_beta 90.00
_cell_angle_gamma 120.00
loop_
_atom_site_label
_atom_site_type_symbol
_atom_site_fract_x
_atom_site_fract_y
_atom_site_fract_z
_atom_site_occupancy
Pt1 Pt 0.0000 0.0000 0.0000 1
N1 N 0.0000 0.0000 0.5000 1
F1 F 0.0000 0.0000 0.0750 1
```

The calculation puts the total energy at -3.809 eV per atom. Its formation energy without anion corrections is 69 kJ/mol of atoms.

---

(4)
AlPd3Ru: optimized geometry, PBE.

CIF file:
```
data_AlPd3Ru
_symmetry_space_group_name_H-M 'P m -3 m'
_symmetry_Int_Tables_number 221
_symmetry_space_group_name_Hall '-P 4 2 3'
_cell_length_a 4.509
_cell_length_b 4.509
_cell_length_c 4.509
_cell_angle_alpha 90.00
_cell_angle_beta 90.00
_cell_angle_gamma 90.00
loop_
_atom_site_label
_atom_site_type_symbol
_atom_site_fract_x
_atom_site_fract_y
_atom_site_fract_z
_atom_site_occupancy
Al1 Al 0.000 0.000 0.000 1
Pd1 Pd 0.000 0.000 0.500 1
Ru1 Ru 0.500 0.500 0.500 1
```

The calculation puts the total energy at -5.061 eV per atom. The formation energy comes out at 0.658 eV/atom.

---

(5)
BaCr2Pb: optimized geometry, PBE.

CIF file:
```
data_BaCr2Pb
_symmetry_space_group_name_H-M 'P 4 m m'
_symmetry_Int_Tables_number 99
_symmetry_space_group_name_Hall 'P 4 -2'
_cell_length_a 3.469
_cell_length_b 3.469
_cell_length_c 8.259
_cell_angle_alpha 90.00
_cell_angle_beta 90.00
_cell_angle_gamma 90.00
loop_
_atom_site_label
_atom_site_type_symbol
_atom_site_fract_x
_atom_site_fract_y
_atom_site_fract_z
_atom_site_occupancy
Ba1 Ba 0.000 0.000 0.000 1
Cr1 Cr 0.000 0.000 0.426 1
Cr2 Cr 0.500 0.500 0.315 1
Pb1 Pb 0.500 0.500 0.664 1
```

The calculation puts the total energy at -5.824 eV per atom. The formation energy comes out at 0.395 eV/atom.

---

(6)
CeMgP2S8: optimized geometry, PBE.

CIF file:
```
data_CeMgP2S8
_symmetry_space_group_name_H-M 'P -3 m 1'
_symmetry_Int_Tables_number 164
_symmetry_space_group_name_Hall '-P 3 2"'
_cell_length_a 6.4121
_cell_length_b 6.4121
_cell_length_c 8.4898
_cell_angle_alpha 90.00
_cell_angle_beta 90.00
_cell_angle_gamma 120.00
loop_
_atom_site_label
_atom_site_type_symbol
_atom_site_fract_x
_atom_site_fract_y
_atom_site_fract_z
_atom_site_occupancy
Ce1 Ce 0.0000 0.0000 0.0000 1
Mg1 Mg 0.0000 0.0000 0.5000 1
P1 P 0.3333 0.6667 0.1949 1
S1 S 0.1580 0.3161 0.2724 1
S2 S 0.3333 0.6667 0.9605 1
```

The calculation puts the total energy at -4.893 eV per atom. Its formation energy without anion corrections is -59 kJ/mol of atoms.